Entry 1:
# K3BAs

K3BAs at its PBEsol-relaxed geometry (SCAN, Alexandria).

CIF file:
```
data_K3BAs
_chemical_formula_sum 'K3 B1 As1'
_symmetry_space_group_name_H-M 'P m -3 m'
_symmetry_Int_Tables_number 221
_symmetry_space_group_name_Hall '-P 4 2 3'
_cell_length_a 6.253
_cell_length_b 6.253
_cell_length_c 6.253
_cell_angle_alpha 90.00
_cell_angle_beta 90.00
_cell_angle_gamma 90.00
loop_
_atom_site_label
_atom_site_type_symbol
_atom_site_fract_x
_atom_site_fract_y
_atom_site_fract_z
K1 K 0.000 0.000 0.500
B1 B 0.500 0.500 0.500
As1 As 0.000 0.000 0.000
```

Electronic total energy (eV for the cell shown): -48.38
ΔH_f (0 K) (eV per atom): 0.845

Entry 2:
# Li2BAs2

Li2BAs2 at its PBEsol-relaxed geometry (SCAN, Alexandria).

CIF file:
```
data_Li2BAs2
_chemical_formula_sum 'Li4 B2 As4'
_symmetry_space_group_name_H-M 'P 4/m b m'
_symmetry_Int_Tables_number 127
_symmetry_space_group_name_Hall '-P 4 2ab'
_cell_length_a 6.026
_cell_length_b 6.026
_cell_length_c 4.181
_cell_angle_alpha 90.00
_cell_angle_beta 90.00
_cell_angle_gamma 90.00
loop_
_atom_site_label
_atom_site_type_symbol
_atom_site_fract_x
_atom_site_fract_y
_atom_site_fract_z
Li1 Li 0.160 0.340 0.000
B1 B 0.000 0.000 0.500
As1 As 0.162 0.662 0.500
```

Electronic total energy (eV for the cell shown): -104.29
ΔH_f (0 K) (eV per atom): 0.089

Entry 3:
# Li2MnBAsO7

Li2MnBAsO7 at its PBEsol-relaxed geometry (SCAN, Alexandria).

CIF file:
```
data_Li2MnBAsO7
_chemical_formula_sum 'Li4 Mn2 B2 As2 O14'
_symmetry_space_group_name_H-M 'P 1 21/m 1'
_symmetry_Int_Tables_number 11
_cell_length_a 5.093
_cell_length_b 6.286
_cell_length_c 8.647
_cell_angle_alpha 90.00
_cell_angle_beta 94.03
_cell_angle_gamma 90.00
loop_
_symmetry_equiv_pos_as_xyz
'x,y,z'
'-x,-y,-z'
'-x,y+1/2,-z'
'x,-y+1/2,z'
loop_
_atom_site_label
_atom_site_type_symbol
_atom_site_fract_x
_atom_site_fract_y
_atom_site_fract_z
Li1 Li 0.232 0.021 0.308
Mn1 Mn 0.209 0.750 0.822
B1 B 0.267 0.750 0.554
As1 As 0.277 0.250 0.929
O1 O 0.025 0.750 0.626
O2 O 0.138 0.250 0.103
O3 O 0.181 0.046 0.809
O4 O 0.298 0.750 0.404
O5 O 0.389 0.750 0.024
O6 O 0.467 0.750 0.677
```

Uncorrected formation energy (eV/atom): -2.0322
Electronic total energy (eV for the cell shown): -237.32

Entry 4:
# Li3MnBAsO7

Li3MnBAsO7 at its PBEsol-relaxed geometry (SCAN, Alexandria).

CIF file:
```
data_Li3MnBAsO7
_chemical_formula_sum 'Li6 Mn2 B2 As2 O14'
_symmetry_space_group_name_H-M 'P 1 21/m 1'
_symmetry_Int_Tables_number 11
_cell_length_a 4.923
_cell_length_b 6.321
_cell_length_c 8.741
_cell_angle_alpha 90.00
_cell_angle_beta 93.19
_cell_angle_gamma 90.00
loop_
_symmetry_equiv_pos_as_xyz
'x,y,z'
'-x,-y,-z'
'-x,y+1/2,-z'
'x,-y+1/2,z'
loop_
_atom_site_label
_atom_site_type_symbol
_atom_site_fract_x
_atom_site_fract_y
_atom_site_fract_z
Li1 Li 0.242 0.022 0.296
Li2 Li 0.253 0.250 0.603
Mn1 Mn 0.209 0.750 0.823
B1 B 0.259 0.750 0.540
As1 As 0.279 0.250 0.921
O1 O 0.010 0.250 0.422
O2 O 0.150 0.250 0.099
O3 O 0.172 0.051 0.798
O4 O 0.351 0.750 0.397
O5 O 0.378 0.750 0.046
O6 O 0.453 0.750 0.667
```

Uncorrected formation energy (eV/atom): -2.1124
Electronic total energy (eV for the cell shown): -248.25

| no. | magnetization (μB per formula unit) |
| --- | --- |
| 1 | 1.00 |
| 2 | 0.00 |
| 3 | 2.95 |
| 4 | 4.00 |